Entry from Alexandria: a geometry-optimized CsCd2NiSb structure (PBE-GGA).

Unit cell a=5.298 b=5.298 c=5.067 alpha=90.00 beta=90.00 gamma=90.00
Fractional coordinates of all 5 atoms:
Cs1 0.000 0.000 0.000
Cd1 0.000 0.500 0.500
Cd2 0.500 0.000 0.500
Ni1 0.500 0.500 0.500
Sb1 0.500 0.500 0.000

Results
Space-group type: P4/mmm, No. 123
E in eV per atom: -2.54
Density of states at the Fermi level in states/eV per cell: 3.72